(1)
DFT (PBE) results for CaTcAs after structural relaxation.

Computed properties:
* energy of formation from the pure elements: -0.3448 eV per atom
* space-group type: No. 107
* energy above the lowest structure with this stoichiometry: 169 meV/atom

extended XYZ file:
```
3
Lattice="5.826 -0.008 0.008 4.892 3.163 0.008 0.934 0.275 3.159" Properties=species:S:1:pos:R:3 pbc="T T T"
As 1.301 0.383 3.041
Ca 4.185 1.232 2.115
Tc 7.100 2.091 1.178
```

---

(2)
DFT (PBE) results for CaTcAs3 after structural relaxation.

Computed properties:
* energy of formation from the pure elements: 1.6756 eV per atom
* space-group type: No. 221
* energy above the lowest structure with this stoichiometry: 1707 meV/atom

extended XYZ file:
```
5
Lattice="5.091 0.000 0.000 0.000 5.091 0.000 0.000 0.000 5.091" Properties=species:S:1:pos:R:3 pbc="T T T"
As 0.000 2.546 0.000
As 0.000 0.000 2.546
As 2.546 0.000 0.000
Ca 0.000 0.000 0.000
Tc 2.546 2.546 2.546
```

---

(3)
DFT (PBE) results for Ca2TcTeAs after structural relaxation.

Computed properties:
* raw formation energy: 0.13 eV/atom
* space-group type: No. 123

extended XYZ file:
```
5
Lattice="-2.912 4.259 -1.952 -3.644 -1.067 3.107 2.272 3.294 3.796" Properties=species:S:1:pos:R:3 pbc="T T T"
As -2.142 3.243 2.476
Te -1.822 -0.534 1.553
Tc 0.000 0.000 0.000
Ca 1.136 1.647 1.898
Ca -1.456 2.129 -0.976
```

---

(4)
DFT (PBE) results for CaTlTc2As after structural relaxation.

Computed properties:
* energy of formation from the pure elements: 1.8753 eV per atom
* space-group type: No. 123

extended XYZ file:
```
5
Lattice="5.122 0.000 0.000 0.000 5.267 0.000 0.000 0.000 5.122" Properties=species:S:1:pos:R:3 pbc="T T T"
As 0.000 2.633 0.000
Tl 2.561 2.633 2.561
Ca 0.000 0.000 0.000
Tc 0.000 0.000 2.561
Tc 2.561 0.000 0.000
```

---

(5)
DFT (PBE) results for CaV2TcAs after structural relaxation.

Computed properties:
* energy of formation from the pure elements: 0.4443 eV per atom
* space-group type: No. 123

extended XYZ file:
```
5
Lattice="-3.288 -0.521 -3.418 3.478 -0.609 -3.253 -0.081 -4.704 0.794" Properties=species:S:1:pos:R:3 pbc="T T T"
As 1.739 -0.305 -1.626
Ca 0.055 -2.917 -2.938
Tc 0.000 0.000 0.000
V -0.041 -2.352 0.397
V -1.644 -0.260 -1.709
```

---

(6)
DFT (PBE) results for CaTe3As after structural relaxation.

Computed properties:
* raw formation energy: 0.50 eV/atom
* space-group type: No. 221
* energy above the lowest structure with this stoichiometry: 749 meV/atom

extended XYZ file:
```
5
Lattice="5.750 0.000 0.000 0.000 5.750 0.000 0.000 0.000 5.750" Properties=species:S:1:pos:R:3 pbc="T T T"
As 2.875 2.875 2.875
Te 0.000 2.875 0.000
Te 0.000 0.000 2.875
Te 2.875 0.000 0.000
Ca 0.000 0.000 0.000
```

---

- What is the formula in the third record?
  Ca2TcTeAs